1.
DFT (PBE) results for PHSeS after structural relaxation.

Structure (POSCAR):
```
PHSeS
1.0
-0.0557 2.6371 2.0720
-4.1037 -1.9033 1.9408
4.0528 -2.5350 3.3120
P H Se S
1 1 1 1
Direct
0.1259 0.3496 0.1210
0.2887 0.7109 0.5482
0.0382 0.4485 0.5170
0.6282 0.0507 0.0597
```

As for the total energy: -4.07 eV per atom. The spin magnetization comes out at 0.00 Bohr magnetons per cell.



2.
DFT (PBE) results for PHSeS after structural relaxation.

Structure (POSCAR):
```
PHSeS
1.0
2.9132 -0.0332 0.0084
-1.3878 5.4263 0.0109
-1.3626 -0.7379 5.5793
P H Se S
1 1 1 1
Direct
0.7795 0.2363 0.2560
0.1218 0.5576 0.6541
0.5502 0.8207 0.2058
0.9888 0.3045 0.6383
```

As for the total energy: -4.01 eV per atom. The spin magnetization comes out at 0.00 Bohr magnetons per cell.



3.
DFT (PBE) results for PH2SeS after structural relaxation.

Structure (POSCAR):
```
PH2SeS
1.0
-0.6204 2.4936 -2.4580
-4.9817 0.6257 -0.3264
-2.1265 4.5632 4.9313
P H Se S
1 2 1 1
Direct
0.3716 0.3967 0.2938
0.8710 0.9270 0.0671
0.3241 0.2964 0.7002
0.2805 0.5911 0.5424
0.2565 0.7933 0.0421
```

As for the total energy: -3.88 eV per atom. The spin magnetization comes out at 0.00 Bohr magnetons per cell.



4.
DFT (PBE) results for PHSeS after structural relaxation.

Structure (POSCAR):
```
PHSeS
1.0
-2.0335 3.3202 2.2076
-4.0921 -2.2405 0.0680
-0.5702 -2.9990 4.1388
P H Se S
1 1 1 1
Direct
0.5189 0.0241 0.9433
0.5979 0.2741 0.6881
0.1948 0.3533 0.0769
0.2378 0.8241 0.7319
```

As for the total energy: -4.10 eV per atom. The spin magnetization comes out at 0.00 Bohr magnetons per cell.



5.
DFT (PBE) results for PH2SeS after structural relaxation.

Structure (POSCAR):
```
PH2SeS
1.0
-0.6526 -2.2265 -1.1938
4.1808 -2.1498 1.8377
-4.6773 -0.9920 5.9564
P H Se S
1 2 1 1
Direct
0.7327 0.5995 0.1432
0.6906 0.3734 0.0018
0.7045 0.7855 0.0206
0.8476 0.9320 0.6494
0.8236 0.3050 0.5348
```

As for the total energy: -3.81 eV per atom. The spin magnetization comes out at 0.00 Bohr magnetons per cell.



6.
DFT (PBE) results for PH2SeS after structural relaxation.

Structure (POSCAR):
```
PH2SeS
1.0
-2.4085 -0.0727 3.5274
3.0343 -0.4039 4.6320
-0.1618 4.9543 2.4828
P H Se S
1 2 1 1
Direct
0.5052 0.2492 0.2209
0.2696 0.7594 0.1774
0.6801 0.0999 0.0122
0.9515 0.1645 0.4192
0.4402 0.6187 0.9738
```

As for the total energy: -4.00 eV per atom. The spin magnetization comes out at 0.00 Bohr magnetons per cell.



7.
DFT (PBE) results for PHSeS after structural relaxation.

Structure (POSCAR):
```
PHSeS
1.0
3.5072 0.0000 -0.0813
0.0000 4.9233 0.0000
-0.1793 0.0000 5.0247
P H Se S
1 1 1 1
Direct
0.6170 0.5000 0.5903
0.9092 0.0000 0.8870
0.5464 0.0000 0.7158
0.0924 0.5000 0.3280
```

As for the total energy: -4.00 eV per atom. The spin magnetization comes out at 0.00 Bohr magnetons per cell.



8.
DFT (PBE) results for PHSeS2 after structural relaxation.

Structure (POSCAR):
```
PHSeS2
1.0
-2.7235 -3.7240 1.5958
-0.5730 -1.5494 -4.5938
4.0463 -2.7745 0.4311
P S Se H
1 2 1 1
Direct
0.0000 0.0000 0.5000
0.0000 0.5000 0.0000
0.5000 0.0000 0.0000
0.0000 0.0000 0.0000
0.5000 0.5000 0.5000
```

As for the total energy: -2.72 eV per atom. The spin magnetization comes out at 2.18 Bohr magnetons per cell.



9.
DFT (PBE) results for PH2SeS after structural relaxation.

Structure (POSCAR):
```
PH2SeS
1.0
-1.6098 4.6757 1.1482
-2.2290 -1.1757 1.6629
4.3678 -1.3835 4.8765
P H Se S
1 2 1 1
Direct
0.8823 0.0000 0.8305
0.1184 0.0000 0.0031
0.1458 0.0000 0.4829
0.3807 0.0000 0.3839
0.6692 0.5000 0.9497
```

As for the total energy: -3.87 eV per atom. The spin magnetization comes out at 0.00 Bohr magnetons per cell.



10.
DFT (PBE) results for PHSeS after structural relaxation.

Structure (POSCAR):
```
PHSeS
1.0
3.5687 -0.0012 0.0001
-0.0839 4.0636 0.0005
-0.2277 -1.0264 5.9956
P H Se S
1 1 1 1
Direct
0.1478 0.5269 0.7587
0.3757 0.8652 0.1399
0.6462 0.1389 0.6766
0.1186 0.6085 0.1110
```

As for the total energy: -4.16 eV per atom. The spin magnetization comes out at 0.00 Bohr magnetons per cell.



11.
DFT (PBE) results for SiP2HS after structural relaxation.

Structure (POSCAR):
```
SiP2HS
1.0
4.5416 0.0000 0.0000
0.0000 4.5416 0.0000
0.0000 0.0000 4.5305
P S Si H
2 1 1 1
Direct
0.0000 0.5000 0.0000
0.5000 0.0000 0.0000
0.0000 0.0000 0.5000
0.0000 0.0000 0.0000
0.5000 0.5000 0.5000
```

As for the total energy: -3.61 eV per atom. The spin magnetization comes out at 0.16 Bohr magnetons per cell.



12.
DFT (PBE) results for SiP2HS after structural relaxation.

Structure (POSCAR):
```
SiP2HS
1.0
-0.0029 -3.3637 -1.0087
2.4548 0.7193 -2.4059
4.3797 -1.2332 4.0999
P S Si H
2 1 1 1
Direct
0.0000 0.5000 0.0000
0.5000 0.0000 0.0000
0.0000 0.0000 0.5000
0.5000 0.5000 0.5000
0.0000 0.0000 0.0000
```

As for the total energy: -4.04 eV per atom. The spin magnetization comes out at 0.00 Bohr magnetons per cell.



13.
DFT (PBE) results for Sm4PHS2 after structural relaxation.

Structure (POSCAR):
```
Sm4PHS2
1.0
-3.6422 -4.2884 0.1449
3.5477 -3.1165 -3.0624
2.4689 1.8058 6.1944
Sm P H S
4 1 1 2
Direct
0.9984 0.4984 0.9969
0.5016 0.0016 0.0031
0.7556 0.7556 0.5113
0.2444 0.2444 0.4887
0.7500 0.2500 0.5000
0.5000 0.5000 0.0000
0.2500 0.7500 0.5000
0.0000 0.0000 0.0000
```

As for the total energy: -5.93 eV per atom. The spin magnetization comes out at 0.00 Bohr magnetons per cell.



14.
DFT (PBE) results for Sm6P3HS2 after structural relaxation.

Structure (POSCAR):
```
Sm6P3HS2
1.0
4.0548 0.0000 0.0000
0.0000 8.0302 0.3104
-2.0274 -2.2898 8.4211
Sm P H S
6 3 1 2
Direct
0.3315 0.9185 0.6631
0.6667 0.5877 0.3334
0.6685 0.0815 0.3369
0.9988 0.2578 0.9975
0.0012 0.7422 0.0025
0.3333 0.4123 0.6666
0.5000 0.5000 0.0000
0.8332 0.1647 0.6664
0.1668 0.8353 0.3336
0.5000 0.0000 0.0000
0.8350 0.6686 0.6701
0.1650 0.3314 0.3299
```

As for the total energy: -6.23 eV per atom. The spin magnetization comes out at 0.00 Bohr magnetons per cell.



15.
DFT (PBE) results for SnPHS2 after structural relaxation.

Structure (POSCAR):
```
SnPHS2
1.0
-1.6856 -2.9169 3.7874
4.5196 -2.2809 0.2548
1.6061 3.5694 3.4639
P S Sn H
1 2 1 1
Direct
0.0000 0.0000 0.5000
0.0000 0.5000 0.0000
0.5000 0.0000 0.0000
0.0000 0.0000 0.0000
0.5000 0.5000 0.5000
```

As for the total energy: -3.04 eV per atom. The spin magnetization comes out at 2.42 Bohr magnetons per cell.



16.
DFT (PBE) results for SnP2HS after structural relaxation.

Structure (POSCAR):
```
SnP2HS
1.0
-1.2539 -3.7709 3.2973
-0.9874 -3.1463 -3.9737
4.8482 -1.5751 0.0423
P S Sn H
2 1 1 1
Direct
0.0000 0.5000 0.0000
0.5000 0.0000 0.0000
0.0000 0.0000 0.5000
0.0000 0.0000 0.0000
0.5000 0.5000 0.5000
```

As for the total energy: -3.04 eV per atom. The spin magnetization comes out at 2.58 Bohr magnetons per cell.



17.
DFT (PBE) results for SnPHS2 after structural relaxation.

Structure (POSCAR):
```
SnPHS2
1.0
-3.2749 -1.7220 -3.1964
3.5512 -2.4154 -2.3371
-0.5162 -2.6542 1.9588
P S Sn H
1 2 1 1
Direct
0.0000 0.0000 0.5000
0.0000 0.5000 0.0000
0.5000 0.0000 0.0000
0.5000 0.5000 0.5000
0.0000 0.0000 0.0000
```

As for the total energy: -3.71 eV per atom. The spin magnetization comes out at 0.00 Bohr magnetons per cell.



18.
DFT (PBE) results for SnP2HS after structural relaxation.

Structure (POSCAR):
```
SnP2HS
1.0
-0.7539 -3.5978 0.6347
2.7414 -0.9855 -2.3300
4.0219 -0.0075 4.7351
P S Sn H
2 1 1 1
Direct
0.0000 0.5000 0.0000
0.5000 0.0000 0.0000
0.0000 0.0000 0.5000
0.5000 0.5000 0.5000
0.0000 0.0000 0.0000
```

As for the total energy: -3.90 eV per atom. The spin magnetization comes out at 0.00 Bohr magnetons per cell.



19.
DFT (PBE) results for TaP2HS after structural relaxation.

Structure (POSCAR):
```
TaP2HS
1.0
-2.9967 3.7886 -0.3820
-3.4277 -2.4722 2.3705
1.6329 1.7094 4.1440
P S H Ta
2 1 1 1
Direct
0.0000 0.5000 0.0000
0.5000 0.0000 0.0000
0.0000 0.0000 0.5000
0.5000 0.5000 0.5000
0.0000 0.0000 0.0000
```

As for the total energy: -5.39 eV per atom. The spin magnetization comes out at 0.69 Bohr magnetons per cell.



20.
DFT (PBE) results for TaPHS2 after structural relaxation.

Structure (POSCAR):
```
TaPHS2
1.0
-4.4554 -0.5549 -1.6043
-1.2660 -2.1488 4.2592
-1.1773 4.2563 1.7974
P S H Ta
1 2 1 1
Direct
0.0000 0.5000 0.0000
0.0000 0.0000 0.5000
0.5000 0.0000 0.0000
0.5000 0.5000 0.5000
0.0000 0.0000 0.0000
```

As for the total energy: -5.38 eV per atom. The spin magnetization comes out at 0.03 Bohr magnetons per cell.



21.
DFT (PBE) results for TaPHS2 after structural relaxation.

Structure (POSCAR):
```
TaPHS2
1.0
-2.3097 2.9649 2.4180
-3.7770 -2.2171 -0.8893
0.4331 -1.7788 2.5949
P S H Ta
1 2 1 1
Direct
0.0000 0.0000 0.5000
0.0000 0.5000 0.0000
0.5000 0.0000 0.0000
0.0000 0.0000 0.0000
0.5000 0.5000 0.5000
```

As for the total energy: -5.36 eV per atom. The spin magnetization comes out at 0.00 Bohr magnetons per cell.



22.
DFT (PBE) results for TaP2HS after structural relaxation.

Structure (POSCAR):
```
TaP2HS
1.0
-1.5357 -2.4960 -2.1435
0.2916 -2.4594 2.6550
-4.3865 1.2726 1.6607
P S H Ta
2 1 1 1
Direct
0.0000 0.5000 0.0000
0.5000 0.0000 0.0000
0.0000 0.0000 0.5000
0.0000 0.0000 0.0000
0.5000 0.5000 0.5000
```

As for the total energy: -5.60 eV per atom. The spin magnetization comes out at 0.00 Bohr magnetons per cell.



23.
DFT (PBE) results for TcP2HS after structural relaxation.

Structure (POSCAR):
```
TcP2HS
1.0
4.6185 0.0000 0.0000
0.0000 4.6185 0.0000
0.0000 0.0000 4.5543
P S Tc H
2 1 1 1
Direct
0.0000 0.5000 0.0000
0.5000 0.0000 0.0000
0.0000 0.0000 0.5000
0.0000 0.0000 0.0000
0.5000 0.5000 0.5000
```

As for the total energy: -4.81 eV per atom. The spin magnetization comes out at 0.00 Bohr magnetons per cell.



24.
DFT (PBE) results for TcP2HS after structural relaxation.

Structure (POSCAR):
```
TcP2HS
1.0
-3.4268 -0.8663 -0.6942
0.7047 0.0430 -3.5322
1.1313 -4.6108 0.1695
P S Tc H
2 1 1 1
Direct
0.0000 0.5000 0.0000
0.5000 0.0000 0.0000
0.0000 0.0000 0.5000
0.5000 0.5000 0.5000
0.0000 0.0000 0.0000
```

As for the total energy: -4.96 eV per atom. The spin magnetization comes out at 0.76 Bohr magnetons per cell.



25.
DFT (PBE) results for TeP2HS after structural relaxation.

Structure (POSCAR):
```
TeP2HS
1.0
-5.2187 0.3173 0.0998
-0.1066 -0.1087 -5.2270
-0.3121 -5.1679 0.1138
P S Te H
2 1 1 1
Direct
0.0000 0.5000 0.0000
0.5000 0.0000 0.0000
0.0000 0.0000 0.5000
0.0000 0.0000 0.0000
0.5000 0.5000 0.5000
```

As for the total energy: -2.72 eV per atom. The spin magnetization comes out at 2.94 Bohr magnetons per cell.



26.
DFT (PBE) results for TePHS2 after structural relaxation.

Structure (POSCAR):
```
TePHS2
1.0
4.9092 0.0000 0.0000
0.0000 4.9092 0.0000
0.0000 0.0000 3.2914
P S Te H
1 2 1 1
Direct
0.0000 0.0000 0.5000
0.0000 0.5000 0.0000
0.5000 0.0000 0.0000
0.5000 0.5000 0.5000
0.0000 0.0000 0.0000
```

As for the total energy: -3.29 eV per atom. The spin magnetization comes out at 0.00 Bohr magnetons per cell.



27.
DFT (PBE) results for TePHS2 after structural relaxation.

Structure (POSCAR):
```
TePHS2
1.0
5.1581 0.0000 0.0000
0.0000 5.1581 0.0000
0.0000 0.0000 5.2631
P S Te H
1 2 1 1
Direct
0.0000 0.0000 0.5000
0.0000 0.5000 0.0000
0.5000 0.0000 0.0000
0.0000 0.0000 0.0000
0.5000 0.5000 0.5000
```

As for the total energy: -2.72 eV per atom. The spin magnetization comes out at 2.54 Bohr magnetons per cell.



28.
DFT (PBE) results for TePH2S4 after structural relaxation.

Structure (POSCAR):
```
TePH2S4
1.0
-2.6132 5.9275 -2.7172
-3.7940 -5.1058 -2.9805
-0.4524 -0.1184 6.9932
Te P H S
2 2 4 8
Direct
0.0000 0.5000 0.0000
0.0000 0.5000 0.5000
0.5000 0.5000 0.5000
0.0000 0.0000 0.0000
0.5000 0.0000 0.0000
0.5000 0.0000 0.5000
0.0000 0.0000 0.5000
0.5000 0.5000 0.0000
0.2800 0.8304 0.9817
0.6696 0.2200 0.5183
0.3304 0.7800 0.4817
0.7200 0.1696 0.0183
0.6832 0.6637 0.9541
0.8363 0.8168 0.5459
0.1638 0.1832 0.4541
0.3168 0.3362 0.0459
```

As for the total energy: -3.67 eV per atom. The spin magnetization comes out at 0.00 Bohr magnetons per cell.